Sc2As2Ru | GGA-PBEsol | relaxed

The space group is I4/mmm (No. 139) and the conventional cell measures 3.510, 3.510 and 15.014 Å, with angles of 90.00, 90.00 and 90.00 degrees. The distinct sites, in fractional coordinates, are Sc at (0.000, 0.000, 0.099), As at (0.000, 0.500, 0.250) and Ru at (0.000, 0.000, 0.500).

As for the formation energy: -0.344 eV/atom.